No. 1
First-principles (PBE-GGA) data for crystalline BeNbSiPt2 at its relaxed geometry, as listed in the Alexandria database.

Results
DFT total energy	-6.144	eV per atom
V	15.36	A^3/atom
space-group type	No. 123

Lattice parameters (Å, degrees): 4.1331 4.1331 4.4972 90.00 90.00 90.00
Fractional coordinates of all 5 atoms:
Be  0.0000  0.0000  0.0000
Nb  0.5000  0.5000  0.5000
Si  0.0000  0.0000  0.5000
Pt  0.0000  0.5000  0.0000
Pt  0.5000  0.0000  0.0000


No. 2
First-principles (PBE-GGA) data for crystalline Be2NbSnPt at its relaxed geometry, as listed in the Alexandria database.

Results
formation energy from the elements	1.22	eV per atom
V	19.48	A^3/atom
space-group type	No. 123

Lattice parameters (Å, degrees): 4.3540 4.3540 5.1385 90.00 90.00 90.00
Fractional coordinates of all 5 atoms:
Be  0.0000  0.5000  0.0000
Be  0.5000  0.0000  0.0000
Nb  0.0000  0.0000  0.5000
Sn  0.5000  0.5000  0.0000
Pt  0.5000  0.5000  0.5000


No. 3
First-principles (PBE-GGA) data for crystalline BeNbTc2Pt at its relaxed geometry, as listed in the Alexandria database.

Results
formation energy from the elements	1.80	eV per atom
V	21.64	A^3/atom
space-group type	No. 123

Lattice parameters (Å, degrees): 4.6941 4.6941 4.9107 90.00 90.00 90.00
Fractional coordinates of all 5 atoms:
Be  0.0000  0.0000  0.0000
Nb  0.5000  0.5000  0.5000
Tc  0.0000  0.5000  0.5000
Tc  0.5000  0.0000  0.5000
Pt  0.5000  0.5000  0.0000


No. 4
First-principles (PBE-GGA) data for crystalline Be2NbZnPt at its relaxed geometry, as listed in the Alexandria database.

Results
formation energy from the elements	1.29	eV per atom
V	19.39	A^3/atom
space-group type	No. 123

Lattice parameters (Å, degrees): 4.4593 4.4593 4.8747 90.00 90.00 90.00
Fractional coordinates of all 5 atoms:
Be  0.0000  0.5000  0.0000
Be  0.5000  0.0000  0.0000
Nb  0.0000  0.0000  0.0000
Zn  0.5000  0.5000  0.5000
Pt  0.0000  0.0000  0.5000


No. 5
First-principles (PBE-GGA) data for crystalline PuBe4Nb at its relaxed geometry, as listed in the Alexandria database.

Results
formation energy from the elements	0.09	eV per atom
V	12.69	A^3/atom
space-group type	No. 216

Lattice parameters (Å, degrees): 4.7573 4.7573 4.7573 60.00 60.00 60.00
Fractional coordinates of all 6 atoms:
Pu  0.0000  0.0000  0.0000
Be  0.3771  0.3771  0.3771
Be  0.3771  0.3771  0.8686
Be  0.3771  0.8686  0.3771
Be  0.8686  0.3771  0.3771
Nb  0.7500  0.7500  0.7500


No. 6
First-principles (PBE-GGA) data for crystalline PuBeNb2 at its relaxed geometry, as listed in the Alexandria database.

Results
formation energy from the elements	0.54	eV per atom
V	18.03	A^3/atom
space-group type	No. 166

Lattice parameters (Å, degrees): 10.1310 10.1310 10.1310 16.38 16.38 16.38
Fractional coordinates of all 4 atoms:
Pu  0.0000  0.0000  0.0000
Be  0.5000  0.5000  0.5000
Nb  0.0976  0.0976  0.0976
Nb  0.9024  0.9024  0.9024


> V of number 3 (BeNbTc2Pt)?

21.64 A^3/atom


> Which formula does entry 5 have?

PuBe4Nb


> Which of these has the lowest V?

PuBe4Nb